A:
A relaxed ZrPaH2 crystal. Source: Alexandria, functional PBE.

```
data_ZrPaH2
_cell_length_a 3.2059
_cell_length_b 3.2059
_cell_length_c 17.8216
_cell_angle_alpha 90.00
_cell_angle_beta 90.00
_cell_angle_gamma 120.00
_symmetry_space_group_name_H-M 'R 3 m'
_symmetry_Int_Tables_number 160
_symmetry_space_group_name_Hall 'R 3 -2"'
loop_
_atom_site_label
_atom_site_fract_x
_atom_site_fract_y
_atom_site_fract_z
Zr1 0.0000 0.0000 0.0000
Pa1 0.0000 0.0000 0.8259
H1 0.0000 0.0000 0.3989
H2 0.0000 0.0000 0.5942
```

=====

B:
A relaxed ZrPaH2 crystal. Source: Alexandria, functional PBE.

```
data_ZrPaH2
_cell_length_a 3.1536
_cell_length_b 3.1536
_cell_length_c 18.2199
_cell_angle_alpha 90.00
_cell_angle_beta 90.00
_cell_angle_gamma 120.00
_symmetry_space_group_name_H-M 'R -3 m'
_symmetry_Int_Tables_number 166
_symmetry_space_group_name_Hall '-R 3 2"'
loop_
_atom_site_label
_atom_site_fract_x
_atom_site_fract_y
_atom_site_fract_z
Zr1 0.0000 0.0000 0.0000
Pa1 0.0000 0.0000 0.5000
H1 0.0000 0.0000 0.2670
```

=====

Of them, A has the lowest stability.

=====

A:
A relaxed HPb3 crystal. Source: Alexandria, functional PBE.

```
data_HPb3
_cell_length_a 3.3811
_cell_length_b 3.5784
_cell_length_c 8.7958
_cell_angle_alpha 90.00
_cell_angle_beta 90.00
_cell_angle_gamma 90.00
_symmetry_space_group_name_H-M 'P m m 2'
_symmetry_Int_Tables_number 25
_symmetry_space_group_name_Hall 'P 2 -2'
loop_
_atom_site_label
_atom_site_fract_x
_atom_site_fract_y
_atom_site_fract_z
H1 0.0000 0.0000 0.0000
Pb1 0.0000 0.5000 0.8674
Pb2 0.5000 0.0000 0.2128
Pb3 0.5000 0.5000 0.5325
```

=====

B:
A relaxed HPb3 crystal. Source: Alexandria, functional PBE.

```
data_HPb3
_cell_length_a 3.4322
_cell_length_b 6.0035
_cell_length_c 9.6488
_cell_angle_alpha 90.00
_cell_angle_beta 90.00
_cell_angle_gamma 90.00
_symmetry_space_group_name_H-M 'I m m m'
_symmetry_Int_Tables_number 71
_symmetry_space_group_name_Hall '-I 2 2'
loop_
_atom_site_label
_atom_site_fract_x
_atom_site_fract_y
_atom_site_fract_z
H1 0.0000 0.0000 0.0000
Pb1 0.0000 0.0000 0.5000
Pb2 0.0000 0.5000 0.3235
```

=====

Of them, A has the lowest stability.